Record 1
InBr after structural relaxation, computed with PBE.

```
data_InBr
_chemical_formula_sum 'In6 Br6'
_space_group_name_H-M_alt 'P 1'
_space_group_IT_number 1
_cell_length_a 12.433
_cell_length_b 4.661
_cell_length_c 8.104
_cell_angle_alpha 90.00
_cell_angle_beta 90.00
_cell_angle_gamma 90.00
loop_
_space_group_symop_operation_xyz
'x,y,z'
loop_
_atom_site_label
_atom_site_type_symbol
_atom_site_fract_x
_atom_site_fract_y
_atom_site_fract_z
In1 In 0.790 0.993 0.370
In2 In 0.710 0.007 0.870
In3 In 0.210 0.993 0.370
In4 In 0.290 0.007 0.870
In5 In 0.000 0.990 0.796
In6 In 0.500 0.010 0.296
Br1 Br 0.838 0.499 0.637
Br2 Br 0.662 0.501 0.137
Br3 Br 0.162 0.499 0.637
Br4 Br 0.338 0.501 0.137
Br5 Br 0.000 0.979 0.192
Br6 Br 0.500 0.021 0.692
```

Calculated values
As for the formation energy from raw total energies: -0.5965 eV per atom.

***

Record 2
InBr3 after structural relaxation, computed with PBE.

```
data_InBr3
_chemical_formula_sum 'In1 Br3'
_space_group_name_H-M_alt 'P 1'
_space_group_IT_number 1
_cell_length_a 5.409
_cell_length_b 5.409
_cell_length_c 3.897
_cell_angle_alpha 90.00
_cell_angle_beta 90.00
_cell_angle_gamma 90.11
loop_
_space_group_symop_operation_xyz
'x,y,z'
loop_
_atom_site_label
_atom_site_type_symbol
_atom_site_fract_x
_atom_site_fract_y
_atom_site_fract_z
Br1 Br 0.000 0.500 0.500
Br2 Br 0.500 0.000 0.500
Br3 Br 0.500 0.500 0.000
In1 In 0.000 0.000 0.000
```

Calculated values
As for the formation energy from raw total energies: -0.0127 eV per atom.

***

Record 3
In4Br after structural relaxation, computed with PBE.

```
data_In4Br
_chemical_formula_sum 'In4 Br1'
_space_group_name_H-M_alt 'P 1'
_space_group_IT_number 1
_cell_length_a 6.171
_cell_length_b 6.171
_cell_length_c 6.171
_cell_angle_alpha 109.47
_cell_angle_beta 109.47
_cell_angle_gamma 109.47
loop_
_space_group_symop_operation_xyz
'x,y,z'
loop_
_atom_site_label
_atom_site_type_symbol
_atom_site_fract_x
_atom_site_fract_y
_atom_site_fract_z
In1 In 0.500 0.000 0.000
In2 In 0.500 0.500 0.500
In3 In 0.000 0.500 0.000
In4 In 0.000 0.000 0.500
Br1 Br 0.000 0.000 0.000
```

Calculated values
The distance to the lowest polymorph of the same formula is 0.207 eV per atom. As for the formation energy from raw total energies: 0.1086 eV per atom.

***

Record 4
InBr after structural relaxation, computed with PBE.

```
data_InBr
_chemical_formula_sum 'In4 Br4'
_space_group_name_H-M_alt 'P 1'
_space_group_IT_number 1
_cell_length_a 4.632
_cell_length_b 4.633
_cell_length_c 12.974
_cell_angle_alpha 99.97
_cell_angle_beta 100.11
_cell_angle_gamma 90.00
loop_
_space_group_symop_operation_xyz
'x,y,z'
loop_
_atom_site_label
_atom_site_type_symbol
_atom_site_fract_x
_atom_site_fract_y
_atom_site_fract_z
Br1 Br 0.424 0.678 0.352
Br2 Br 0.576 0.322 0.648
Br3 Br 0.177 0.922 0.852
Br4 Br 0.823 0.078 0.148
In1 In 0.938 0.196 0.390
In2 In 0.062 0.804 0.610
In3 In 0.305 0.568 0.110
In4 In 0.695 0.432 0.890
```

Calculated values
As for the formation energy from raw total energies: -0.6586 eV per atom.

***

Record 5
InBr after structural relaxation, computed with PBE.

```
data_InBr
_chemical_formula_sum 'In3 Br3'
_space_group_name_H-M_alt 'P 1'
_space_group_IT_number 1
_cell_length_a 7.767
_cell_length_b 7.767
_cell_length_c 7.822
_cell_angle_alpha 66.00
_cell_angle_beta 66.00
_cell_angle_gamma 30.34
loop_
_space_group_symop_operation_xyz
'x,y,z'
loop_
_atom_site_label
_atom_site_type_symbol
_atom_site_fract_x
_atom_site_fract_y
_atom_site_fract_z
In1 In 0.108 0.108 0.916
In2 In 0.966 0.966 0.477
In3 In 0.750 0.750 0.173
Br1 Br 0.622 0.622 0.622
Br2 Br 0.387 0.387 0.215
Br3 Br 0.334 0.334 0.764
```

Calculated values
As for the formation energy from raw total energies: -0.6064 eV per atom.

***

Record 6
In2Br after structural relaxation, computed with PBE.

```
data_In2Br
_chemical_formula_sum 'In2 Br1'
_space_group_name_H-M_alt 'P 1'
_space_group_IT_number 1
_cell_length_a 5.434
_cell_length_b 5.434
_cell_length_c 3.521
_cell_angle_alpha 90.00
_cell_angle_beta 90.00
_cell_angle_gamma 120.00
loop_
_space_group_symop_operation_xyz
'x,y,z'
loop_
_atom_site_label
_atom_site_type_symbol
_atom_site_fract_x
_atom_site_fract_y
_atom_site_fract_z
Br1 Br 0.000 0.000 0.000
In1 In 0.333 0.667 0.752
In2 In 0.667 0.333 0.248
```

Calculated values
The distance to the lowest polymorph of the same formula is 0.117 eV per atom. As for the formation energy from raw total energies: -0.1948 eV per atom.